# Hf2Cu4Au

An optimized crystal structure of Hf2Cu4Au (GGA-PBE, Alexandria).

Output
For the energy of formation from the pure elements, the calculation gives 0.694 eV per atom. The total energy comes out at -34.71 eV per cell. The density is 9.39 Mg/m³.

Cell lengths 7.3383, 7.3383, 7.3383 Å; angles 142.88, 142.88, 53.50 degrees
Closest atoms and distances in Å follow each position.
Fractional positions:
1 Hf 0.1137 0.1137 0.0000  5 Cu 2.55-2.77
2 Hf 0.8863 0.8863 0.0000  5 Cu 2.55-2.77
3 Cu 0.0000 0.5000 0.5000  2 Au 2.34
4 Cu 0.3080 0.3080 0.0000  1 Au 2.52, 1 Hf 2.55
5 Cu 0.5000 0.0000 0.5000  2 Au 2.34
6 Cu 0.6920 0.6920 0.0000  1 Au 2.52, 1 Hf 2.55
7 Au 0.5000 0.5000 0.0000  6 Cu 2.34-2.52